Compound: Dy9Tl3N2
Source: the Alexandria database
Functional: GGA-PBE
Structure: optimized geometry

**ΔE_f (raw)**: -9.815 eV/f.u.
**DOS at the Fermi energy**: 8.4 states/eV/cell

abc: 6.847 6.847 8.390
angles: 90.00 90.00 120.00
Element x y z (fractional)
Dy: 0.170 0.830 0.671
Dy: 0.170 0.341 0.671
Dy: 0.500 0.500 0.000
Dy: 0.830 0.659 0.329
Dy: 0.341 0.170 0.329
Dy: 0.659 0.830 0.671
Dy: 0.830 0.170 0.329
Dy: 0.000 0.500 0.000
Dy: 0.500 0.000 0.000
Tl: 0.667 0.333 0.666
Tl: 0.000 0.000 0.000
Tl: 0.333 0.667 0.334
N: 0.667 0.333 0.166
N: 0.333 0.667 0.834